Record 1
HfFe9Mo2 | PBE | relaxed

Results
energy of formation = -34 meV per atom
space group = R-3m
final energy = -9.02 eV/atom

a b c (Å): 8.2491 8.2491 8.2491
angles (deg): 33.43 33.43 33.43
Fractional coordinates of all 12 atoms:
Hf: 0.0000 0.0000 0.0000
Fe: 0.0813 0.5891 0.5891
Fe: 0.3336 0.3336 0.3336
Fe: 0.4109 0.4109 0.9187
Fe: 0.4109 0.9187 0.4109
Fe: 0.5000 0.5000 0.5000
Fe: 0.5891 0.0813 0.5891
Fe: 0.5891 0.5891 0.0813
Fe: 0.6664 0.6664 0.6664
Fe: 0.9187 0.4109 0.4109
Mo: 0.1423 0.1423 0.1423
Mo: 0.8577 0.8577 0.8577

***

Record 2
TbPr2Nd | PBE | relaxed

Results
energy of formation = 103 meV per atom
space group = Imm2
final energy = -4.64 eV/atom

a b c (Å): 3.7343 6.0893 12.2574
angles (deg): 90.00 90.00 90.00
Fractional coordinates of all 8 atoms:
Tb: 0.0000 0.0000 0.0000
Tb: 0.5000 0.5000 0.5000
Pr: 0.0000 0.0000 0.5019
Pr: 0.0000 0.5000 0.7423
Pr: 0.5000 0.0000 0.2423
Pr: 0.5000 0.5000 0.0019
Nd: 0.0000 0.5000 0.2594
Nd: 0.5000 0.0000 0.7594

***

Record 3
Hg2PtBr | PBE | relaxed

Results
space group = Imm2
raw formation energy = 179.0 meV per atom
final energy = -1.90 eV/atom

a b c (Å): 3.2540 6.2918 9.5062
angles (deg): 90.00 90.00 90.00
Fractional coordinates of all 8 atoms:
Hg: 0.0000 0.0000 0.0000
Hg: 0.0000 0.5000 0.2355
Hg: 0.5000 0.0000 0.7355
Hg: 0.5000 0.5000 0.5000
Pt: 0.0000 0.0000 0.5061
Pt: 0.5000 0.5000 0.0061
Br: 0.0000 0.5000 0.7950
Br: 0.5000 0.0000 0.2950

***

Record 4
KRbHg5 | PBE | relaxed

Results
energy of formation = -206 meV per atom
space group = Pnma
final energy = -0.72 eV/atom

a b c (Å): 10.5057 6.8816 13.4436
angles (deg): 90.00 90.00 90.00
Fractional coordinates of all 28 atoms:
K: 0.2273 0.2500 0.0483
K: 0.2727 0.7500 0.5483
K: 0.7273 0.2500 0.4517
K: 0.7727 0.7500 0.9517
Rb: 0.1225 0.2500 0.3632
Rb: 0.3775 0.7500 0.8632
Rb: 0.6225 0.2500 0.1368
Rb: 0.8775 0.7500 0.6368
Hg: 0.0532 0.2500 0.6244
Hg: 0.0590 0.5213 0.8354
Hg: 0.0590 0.9787 0.8354
Hg: 0.1183 0.7500 0.0413
Hg: 0.2116 0.7500 0.2687
Hg: 0.2884 0.2500 0.7687
Hg: 0.3817 0.2500 0.5413
Hg: 0.4410 0.0213 0.3354
Hg: 0.4410 0.4787 0.3354
Hg: 0.4468 0.7500 0.1244
Hg: 0.5532 0.2500 0.8756
Hg: 0.5590 0.5213 0.6646
Hg: 0.5590 0.9787 0.6646
Hg: 0.6183 0.7500 0.4587
Hg: 0.7116 0.7500 0.2313
Hg: 0.7884 0.2500 0.7313
Hg: 0.8817 0.2500 0.9587
Hg: 0.9410 0.0213 0.1646
Hg: 0.9410 0.4787 0.1646
Hg: 0.9468 0.7500 0.3756

***

Record 5
BaMn2Si | PBE | relaxed

Results
space group = P2/m
raw formation energy = 402.8 meV per atom
final energy = -6.02 eV/atom

a b c (Å): 3.1896 4.0358 6.8907
angles (deg): 90.00 101.42 90.00
Fractional coordinates of all 4 atoms:
Ba: 0.0000 0.0000 0.0000
Mn: 0.2981 0.5000 0.6506
Mn: 0.7019 0.5000 0.3494
Si: 0.5000 0.0000 0.5000

***

Record 6
CeDyYTm | PBE | relaxed

Results
energy of formation = 159 meV per atom
space group = F-43m
final energy = -5.21 eV/atom

a b c (Å): 7.9799 7.9799 7.9799
angles (deg): 90.00 90.00 90.00
Fractional coordinates of all 16 atoms:
Ce: 0.0000 0.0000 0.0000
Ce: 0.0000 0.5000 0.5000
Ce: 0.5000 0.0000 0.5000
Ce: 0.5000 0.5000 0.0000
Dy: 0.0000 0.0000 0.5000
Dy: 0.0000 0.5000 0.0000
Dy: 0.5000 0.0000 0.0000
Dy: 0.5000 0.5000 0.5000
Y: 0.2500 0.2500 0.2500
Y: 0.2500 0.7500 0.7500
Y: 0.7500 0.2500 0.7500
Y: 0.7500 0.7500 0.2500
Tm: 0.2500 0.2500 0.7500
Tm: 0.2500 0.7500 0.2500
Tm: 0.7500 0.2500 0.2500
Tm: 0.7500 0.7500 0.7500

***

Record 7
UGaIr2 | PBE | relaxed

Results
energy of formation = -369 meV per atom
space group = P4/mmm
final energy = -8.38 eV/atom

a b c (Å): 4.2420 4.2420 3.8787
angles (deg): 90.00 90.00 90.00
Fractional coordinates of all 4 atoms:
U: 0.0000 0.0000 0.0000
Ga: 0.5000 0.5000 0.0000
Ir: 0.0000 0.5000 0.5000
Ir: 0.5000 0.0000 0.5000

***

Record 8
KLi2Rh | PBE | relaxed

Results
energy of formation = 214 meV per atom
space group = Cm
final energy = -2.86 eV/atom

a b c (Å): 8.9696 2.8325 7.4008
angles (deg): 90.00 93.38 90.00
Fractional coordinates of all 8 atoms:
K: 0.0000 0.0000 0.0000
K: 0.5000 0.5000 0.0000
Li: 0.0128 0.5000 0.5910
Li: 0.2648 0.5000 0.4127
Li: 0.5128 0.0000 0.5910
Li: 0.7648 0.0000 0.4127
Rh: 0.2493 0.0000 0.6967
Rh: 0.7493 0.5000 0.6967